NaSr3Ni: optimized geometry, PBE.

Summary:
Calculated total energy   -2.44 eV per atom
Crystal system   triclinic
Energy of formation from the pure elements   -0.009 eV per atom

a = 4.197 Å, b = 7.983 Å, c = 13.166 Å
α = 74.29°, β = 80.98°, γ = 74.84°
Space group P1 (No. 1)
Inequivalent atoms, fractional coordinates:
1 Na 0.000 0.000 0.000 (multiplicity 1)
2 Na 0.291 0.234 0.187 (multiplicity 1)
3 Sr 0.070 0.375 0.484 (multiplicity 1)
4 Sr 0.222 0.860 0.702 (multiplicity 1)
5 Sr 0.464 0.326 0.749 (multiplicity 1)
6 Sr 0.542 0.674 0.238 (multiplicity 1)
7 Sr 0.750 0.560 0.948 (multiplicity 1)
8 Sr 0.827 0.910 0.437 (multiplicity 1)
9 Ni 0.414 0.629 0.546 (multiplicity 1)
10 Ni 0.878 0.608 0.641 (multiplicity 1)

***

NaSr3Ni: optimized geometry, PBE.

Summary:
Calculated total energy   -2.37 eV per atom
Crystal system   trigonal
Energy of formation from the pure elements   0.062 eV per atom

a = 7.4216 Å, b = 7.4216 Å, c = 27.9346 Å
α = 90.00°, β = 90.00°, γ = 120.00°
Space group R-3 (No. 148, hexagonal axes)
Inequivalent atoms, fractional coordinates:
1 Na 0.0000 0.0000 0.1669 (multiplicity 6)
2 Sr 0.0064 0.6599 0.0589 (multiplicity 18)
3 Ni 0.0000 0.0000 0.3309 (multiplicity 6)

***

NaSr3Ni: optimized geometry, PBE.

Summary:
Calculated total energy   -2.37 eV per atom
Crystal system   orthorhombic
Energy of formation from the pure elements   0.057 eV per atom

a = 5.224 Å, b = 7.823 Å, c = 9.449 Å
α = 90.00°, β = 90.00°, γ = 90.00°
Space group Pmmn (No. 59, origin choice 2)
Inequivalent atoms, fractional coordinates:
1 Na 0.250 0.250 0.211 (multiplicity 2)
2 Sr 0.250 0.016 0.640 (multiplicity 4)
3 Sr 0.250 0.750 0.079 (multiplicity 2)
4 Ni 0.250 0.750 0.393 (multiplicity 2)

***

NaSr3Ni: optimized geometry, PBE.

Summary:
Calculated total energy   -1.94 eV per atom
Crystal system   hexagonal
Energy of formation from the pure elements   0.492 eV per atom

a = 5.2220 Å, b = 5.2220 Å, c = 18.7574 Å
α = 90.00°, β = 90.00°, γ = 120.00°
Space group P6_3/mmc (No. 194)
Inequivalent atoms, fractional coordinates:
1 Na 0.3333 0.6667 0.2500 (multiplicity 2)
2 Sr 0.0000 0.0000 0.2500 (multiplicity 2)
3 Sr 0.3333 0.6667 0.0653 (multiplicity 4)
4 Ni 0.0000 0.0000 0.0000 (multiplicity 2)

***

Na2Sr6Ni: optimized geometry, PBE.

Summary:
Calculated total energy   -2.07 eV per atom
Crystal system   monoclinic
Energy of formation from the pure elements   -0.012 eV per atom

a = 14.506 Å, b = 8.377 Å, c = 8.377 Å
α = 90.00°, β = 125.27°, γ = 90.00°
Space group C2/m (No. 12)
Inequivalent atoms, fractional coordinates:
1 Na 0.250 0.000 0.250 (multiplicity 4)
2 Sr 0.000 0.246 0.254 (multiplicity 8)
3 Sr 0.246 0.000 0.745 (multiplicity 4)
4 Ni 0.000 0.000 0.500 (multiplicity 2)

***

NaSr3Ni: optimized geometry, PBE.

Summary:
Calculated total energy   -2.20 eV per atom
Crystal system   orthorhombic
Energy of formation from the pure elements   0.231 eV per atom

a = 7.623 Å, b = 15.201 Å, c = 7.031 Å
α = 90.00°, β = 90.00°, γ = 90.00°
Space group Cmcm (No. 63)
Inequivalent atoms, fractional coordinates:
1 Na 0.000 0.064 0.250 (multiplicity 4)
2 Sr 0.000 0.500 0.000 (multiplicity 4)
3 Sr 0.249 0.198 0.750 (multiplicity 8)
4 Ni 0.000 0.339 0.750 (multiplicity 4)

***

NaSr2Ni: optimized geometry, PBE.

Summary:
Calculated total energy   -2.49 eV per atom
Crystal system   trigonal
Energy of formation from the pure elements   0.125 eV per atom

a = 4.1798 Å, b = 4.1798 Å, c = 32.9473 Å
α = 90.00°, β = 90.00°, γ = 120.00°
Space group R-3m (No. 166, hexagonal axes)
Inequivalent atoms, fractional coordinates:
1 Na 0.0000 0.0000 0.0000 (multiplicity 3)
2 Sr 0.0000 0.0000 0.1163 (multiplicity 6)
3 Ni 0.0000 0.0000 0.5000 (multiplicity 3)

***

NaSr2Ni: optimized geometry, PBE.

Summary:
Calculated total energy   -2.62 eV per atom
Crystal system   monoclinic
Energy of formation from the pure elements   0.000 eV per atom

a = 15.494 Å, b = 4.139 Å, c = 10.732 Å
α = 90.00°, β = 116.30°, γ = 90.00°
Space group C2/m (No. 12)
Inequivalent atoms, fractional coordinates:
1 Na 0.148 0.000 0.465 (multiplicity 4)
2 Sr 0.098 0.500 0.748 (multiplicity 4)
3 Sr 0.146 0.500 0.141 (multiplicity 4)
4 Ni 0.216 0.000 0.985 (multiplicity 4)

***

NaSr3Ni: optimized geometry, PBE.

Summary:
Calculated total energy   -2.45 eV per atom
Crystal system   triclinic
Energy of formation from the pure elements   -0.020 eV per atom

a = 4.208 Å, b = 8.102 Å, c = 12.836 Å
α = 74.18°, β = 80.64°, γ = 74.98°
Space group P1 (No. 1)
Inequivalent atoms, fractional coordinates:
1 Na 0.000 0.000 0.000 (multiplicity 1)
2 Na 0.283 0.379 0.050 (multiplicity 1)
3 Sr 0.092 0.326 0.490 (multiplicity 1)
4 Sr 0.338 0.780 0.543 (multiplicity 1)
5 Sr 0.483 0.271 0.763 (multiplicity 1)
6 Sr 0.564 0.655 0.215 (multiplicity 1)
7 Sr 0.713 0.753 0.821 (multiplicity 1)
8 Sr 0.808 0.086 0.293 (multiplicity 1)
9 Ni 0.144 0.025 0.687 (multiplicity 1)
10 Ni 0.678 0.041 0.603 (multiplicity 1)

***

NaSr3Ni: optimized geometry, PBE.

Summary:
Calculated total energy   -2.32 eV per atom
Crystal system   cubic
Energy of formation from the pure elements   0.110 eV per atom

a = 15.759 Å, b = 15.759 Å, c = 15.759 Å
α = 90.00°, β = 90.00°, γ = 90.00°
Space group Fd-3m (No. 227, origin choice 2)
Inequivalent atoms, fractional coordinates:
1 Na 0.000 0.000 0.000 (multiplicity 16)
2 Sr 0.063 0.375 0.875 (multiplicity 48)
3 Ni 0.000 0.000 0.500 (multiplicity 16)

***

NaSr3Ni: optimized geometry, PBE.

Summary:
Calculated total energy   -2.08 eV per atom
Crystal system   tetragonal
Energy of formation from the pure elements   0.344 eV per atom

a = 4.980 Å, b = 4.980 Å, c = 10.158 Å
α = 90.00°, β = 90.00°, γ = 90.00°
Space group P4mm (No. 99)
Inequivalent atoms, fractional coordinates:
1 Na 0.000 0.000 0.000 (multiplicity 1)
2 Sr 0.000 0.000 0.612 (multiplicity 1)
3 Sr 0.000 0.500 0.310 (multiplicity 2)
4 Ni 0.500 0.500 0.480 (multiplicity 1)

***

NaSr3Ni: optimized geometry, PBE.

Summary:
Calculated total energy   -2.45 eV per atom
Crystal system   triclinic
Energy of formation from the pure elements   -0.021 eV per atom

a = 4.206 Å, b = 8.050 Å, c = 12.528 Å
α = 84.75°, β = 89.96°, γ = 74.91°
Space group P1 (No. 1)
Inequivalent atoms, fractional coordinates:
1 Na 0.000 0.000 0.000 (multiplicity 1)
2 Na 0.108 0.793 0.771 (multiplicity 1)
3 Sr 0.155 0.697 0.270 (multiplicity 1)
4 Sr 0.373 0.258 0.768 (multiplicity 1)
5 Sr 0.403 0.198 0.227 (multiplicity 1)
6 Sr 0.705 0.595 0.544 (multiplicity 1)
7 Sr 0.735 0.535 0.003 (multiplicity 1)
8 Sr 0.953 0.097 0.500 (multiplicity 1)
9 Ni 0.310 0.383 0.429 (multiplicity 1)
10 Ni 0.796 0.411 0.342 (multiplicity 1)